The following is a GGA-PBEsol calculation of a relaxed structure of KTeAs2Br, from Alexandria via LeMat-Bulk.

Cell and atoms, written as POSCAR:
```
KTeAs2Br
1.0
5.2724 0.0000 0.0000
0.0000 5.2724 0.0000
0.0000 0.0000 6.0899
K As Br Te
1 2 1 1
Cartesian
2.6362 2.6362 3.0449 K
2.6362 0.0000 0.0000 As
0.0000 2.6362 0.0000 As
0.0000 0.0000 3.0449 Br
0.0000 0.0000 0.0000 Te
```

## Properties
VASP energy, hartree per atom: -0.1180
E_form (uncorrected), meV/atom: 136
Symmetry: No. 123